Record 1
# NaSr2Cd3Ag4, optimized geometry, DFT GGA-PBE
data_NaSr2Cd3Ag4
_cell_length_a 4.681
_cell_length_b 4.681
_cell_length_c 12.155
_cell_angle_alpha 90.00
_cell_angle_beta 90.00
_cell_angle_gamma 90.00
_space_group_name_H-M_alt 'P -4 m 2'
_space_group_IT_number 115
loop_
_space_group_symop_operation_xyz
'x,y,z'
'y,-x,-z'
'-x,-y,z'
'-y,x,-z'
'-x,y,z'
'-y,-x,-z'
'x,-y,z'
'y,x,-z'
loop_
_atom_site_label
_atom_site_type_symbol
_atom_site_fract_x
_atom_site_fract_y
_atom_site_fract_z
Na1 Na 0.000 0.000 0.000
Sr1 Sr 0.000 0.500 0.732
Cd1 Cd 0.000 0.500 0.372
Cd2 Cd 0.500 0.500 0.000
Ag1 Ag 0.000 0.000 0.500
Ag2 Ag 0.000 0.500 0.146
Ag3 Ag 0.500 0.500 0.500
# energy: -20.62 eV/cell
# ΔH_f (0 K): -0.179 eV/atom
# size of the total moment: 0.00 μB per formula unit
# V: 26.6 Å³ per atom

***

Record 2
# NaSr2Cd5Ag2, optimized geometry, DFT GGA-PBE
data_NaSr2Cd5Ag2
_cell_length_a 10.705
_cell_length_b 10.705
_cell_length_c 4.626
_cell_angle_alpha 90.00
_cell_angle_beta 90.00
_cell_angle_gamma 90.00
_space_group_name_H-M_alt 'P 4/m b m'
_space_group_IT_number 127
_space_group_name_Hall '-P 4 2ab'
loop_
_atom_site_label
_atom_site_type_symbol
_atom_site_fract_x
_atom_site_fract_y
_atom_site_fract_z
Na1 Na 0.000 0.000 0.000
Sr1 Sr 0.179 0.321 0.000
Cd1 Cd 0.000 0.500 0.500
Cd2 Cd 0.059 0.792 0.500
Ag1 Ag 0.115 0.615 0.000
# energy: -34.30 eV/cell
# ΔH_f (0 K): -0.219 eV/atom
# size of the total moment: 0.00 μB per formula unit
# V: 26.5 Å³ per atom